Entry 1:
Here is an optimized crystal structure of DyThAgHg from Alexandria via LeMat-Bulk. Energies are from PBE.

**E_form**: -0.23 eV/atom
**VASP energy**: -4.019 eV per atom
**M_tot**: 0.19 μB per atom

a = 5.294 Å, b = 5.294 Å, c = 5.294 Å
α = 60.00°, β = 60.00°, γ = 60.00°
Fractional positions:
Dy: 0.000 0.000 0.000
Th: 0.500 0.500 0.500
Ag: 0.250 0.250 0.250
Hg: 0.750 0.750 0.750

=====

Entry 2:
Here is an optimized crystal structure of Rb2TlSnAs2 from Alexandria via LeMat-Bulk. Energies are from PBE.

**E_form**: -0.27 eV/atom
**VASP energy**: -3.202 eV per atom
**M_tot**: 0.00 μB per atom

a = 9.326 Å, b = 9.326 Å, c = 9.326 Å
α = 130.73°, β = 69.73°, γ = 133.95°
Fractional positions:
Rb: 0.175 0.246 0.420
Rb: 0.325 0.746 0.071
Rb: 0.675 0.254 0.929
Rb: 0.825 0.754 0.580
Tl: 0.250 0.750 0.500
Tl: 0.750 0.250 0.500
Sn: 0.250 0.250 0.000
Sn: 0.750 0.750 0.000
As: 0.090 0.786 0.876
As: 0.410 0.286 0.697
As: 0.590 0.714 0.303
As: 0.910 0.214 0.124

=====

Entry 3:
Here is an optimized crystal structure of Na7Cd2Sn2 from Alexandria via LeMat-Bulk. Energies are from PBE.

**E_form**: -0.12 eV/atom
**Relative energy among the computed polymorphs**: 0 meV per atom
**VASP energy**: -1.854 eV per atom
**M_tot**: 0.00 μB per atom

a = 6.346 Å, b = 6.346 Å, c = 8.732 Å
α = 105.03°, β = 105.03°, γ = 94.09°
Fractional positions:
Na: 0.000 0.000 0.000
Na: 0.117 0.481 0.828
Na: 0.163 0.163 0.435
Na: 0.481 0.117 0.828
Na: 0.519 0.883 0.172
Na: 0.837 0.837 0.565
Na: 0.883 0.519 0.172
Cd: 0.310 0.690 0.500
Cd: 0.690 0.310 0.500
Sn: 0.386 0.386 0.197
Sn: 0.614 0.614 0.803

=====

Entry 4:
Here is an optimized crystal structure of Ce12Ge6Pd from Alexandria via LeMat-Bulk. Energies are from PBE.

**E_form**: -0.46 eV/atom
**VASP energy**: -5.935 eV per atom
**M_tot**: 0.48 μB per atom

a = 7.842 Å, b = 7.842 Å, c = 7.842 Å
α = 95.23°, β = 95.23°, γ = 95.23°
Fractional positions:
Ce: 0.039 0.660 0.936
Ce: 0.064 0.961 0.340
Ce: 0.140 0.494 0.401
Ce: 0.340 0.064 0.961
Ce: 0.401 0.140 0.494
Ce: 0.494 0.401 0.140
Ce: 0.506 0.599 0.860
Ce: 0.599 0.860 0.506
Ce: 0.660 0.936 0.039
Ce: 0.860 0.506 0.599
Ce: 0.936 0.039 0.660
Ce: 0.961 0.340 0.064
Ge: 0.189 0.343 0.765
Ge: 0.235 0.811 0.657
Ge: 0.343 0.765 0.189
Ge: 0.657 0.235 0.811
Ge: 0.765 0.189 0.343
Ge: 0.811 0.657 0.235
Pd: 0.500 0.500 0.500

=====

Entry 5:
Here is an optimized crystal structure of AlNi2Ag from Alexandria via LeMat-Bulk. Energies are from PBE.

**E_form**: -0.12 eV/atom
**VASP energy**: -4.658 eV per atom
**M_tot**: 0.00 μB per atom

a = 5.004 Å, b = 5.004 Å, c = 5.004 Å
α = 146.23°, β = 129.45°, γ = 62.18°
Fractional positions:
Al: 0.000 0.000 0.000
Ni: 0.529 0.529 0.000
Ni: 0.771 0.271 0.500
Ag: 0.261 0.761 0.500

=====

Entry 6:
Here is an optimized crystal structure of BaAuNO2 from Alexandria via LeMat-Bulk. Energies are from PBE.

**Formation energy from raw total energies**: 995 meV/atom
**VASP energy**: -3.693 eV per atom
**M_tot**: 0.82 μB per atom

a = 4.799 Å, b = 4.799 Å, c = 5.052 Å
α = 90.00°, β = 90.00°, γ = 90.00°
Fractional positions:
Ba: 0.000 0.000 0.000
Au: 0.500 0.500 0.500
N: 0.000 0.000 0.500
O: 0.000 0.500 0.000
O: 0.500 0.000 0.000

=====

Entry 7:
Here is an optimized crystal structure of BeReIr from Alexandria via LeMat-Bulk. Energies are from PBE.

**E_form**: -0.27 eV/atom
**Relative energy among the computed polymorphs**: 44 meV per atom
**VASP energy**: -8.619 eV per atom
**M_tot**: 0.00 μB per atom

a = 5.807 Å, b = 4.860 Å, c = 4.474 Å
α = 76.82°, β = 54.57°, γ = 48.60°
Fractional positions:
Be: 0.250 0.250 0.250
Be: 0.750 0.750 0.750
Re: 0.163 0.837 0.163
Re: 0.837 0.163 0.837
Ir: 0.352 0.352 0.648
Ir: 0.648 0.648 0.352

=====

Entry 8:
Here is an optimized crystal structure of K2SiAs from Alexandria via LeMat-Bulk. Energies are from PBE.

**Relative energy among the computed polymorphs**: 136 meV per atom
**Formation energy from raw total energies**: -100 meV/atom
**VASP energy**: -3.167 eV per atom
**M_tot**: 0.00 μB per atom

a = 3.943 Å, b = 3.943 Å, c = 10.586 Å
α = 101.70°, β = 101.70°, γ = 60.14°
Fractional positions:
K: 0.000 0.000 0.000
K: 0.213 0.213 0.592
Si: 0.755 0.755 0.244
As: 0.461 0.461 0.353

=====

Entry 9:
Here is an optimized crystal structure of Th2OsCl from Alexandria via LeMat-Bulk. Energies are from PBE.

**Relative energy among the computed polymorphs**: 197 meV per atom
**Formation energy from raw total energies**: -702 meV/atom
**VASP energy**: -7.681 eV per atom
**M_tot**: 0.00 μB per atom

a = 3.365 Å, b = 3.365 Å, c = 8.278 Å
α = 90.00°, β = 90.00°, γ = 90.00°
Fractional positions:
Th: 0.000 0.000 0.228
Th: 0.000 0.000 0.772
Os: 0.500 0.500 0.000
Cl: 0.500 0.500 0.500

=====

Entry 10:
Here is an optimized crystal structure of Ti2InH from Alexandria via LeMat-Bulk. Energies are from PBE.

**Relative energy among the computed polymorphs**: 733 meV per atom
**VASP energy**: -4.904 eV per atom
**M_tot**: 0.41 μB per atom

a = 4.433 Å, b = 4.433 Å, c = 3.703 Å
α = 90.00°, β = 90.00°, γ = 120.00°
Fractional positions:
Ti: 0.333 0.667 0.000
Ti: 0.667 0.333 0.000
In: 0.000 0.000 0.500
H: 0.000 0.000 0.000

=====

Entry 11:
Here is an optimized crystal structure of MgW4Cl from Alexandria via LeMat-Bulk. Energies are from PBE.

**Formation energy from raw total energies**: 1039 meV/atom
**VASP energy**: -8.170 eV per atom
**M_tot**: 0.00 μB per atom

a = 5.396 Å, b = 5.396 Å, c = 5.396 Å
α = 60.00°, β = 60.00°, γ = 60.00°
Fractional positions:
Mg: 0.000 0.000 0.000
W: 0.131 0.623 0.623
W: 0.623 0.131 0.623
W: 0.623 0.623 0.131
W: 0.623 0.623 0.623
Cl: 0.250 0.250 0.250

=====

Entry 12:
Here is an optimized crystal structure of TbY2Pt from Alexandria via LeMat-Bulk. Energies are from PBE.

**E_form**: -0.67 eV/atom
**Relative energy among the computed polymorphs**: 42 meV per atom
**VASP energy**: -6.568 eV per atom
**M_tot**: 0.00 μB per atom

a = 6.400 Å, b = 6.400 Å, c = 9.572 Å
α = 90.00°, β = 90.00°, γ = 145.69°
Fractional positions:
Tb: 0.074 0.926 0.750
Tb: 0.926 0.074 0.250
Y: 0.364 0.636 0.565
Y: 0.364 0.636 0.935
Y: 0.636 0.364 0.065
Y: 0.636 0.364 0.435
Pt: 0.243 0.757 0.250
Pt: 0.757 0.243 0.750

=====

- What is the formula in the fifth record?
  AlNi2Ag